A relaxed structure of La2NdErHg2, computed with GGA-PBE.

Output
Total magnetization ... 0.000 μB per atom
Energy of formation from the pure elements ... -0.3360 eV/atom
Calculated total energy ... -3.63 eV per atom

Cell and atoms, written as CIF:
```
data_La2NdErHg2
_chemical_formula_sum 'La4 Nd2 Er2 Hg4'
_cell_length_a 5.1856
_cell_length_b 9.6624
_cell_length_c 7.3471
_cell_angle_alpha 90.00
_cell_angle_beta 90.00
_cell_angle_gamma 90.00
_space_group_name_H-M_alt 'P m c 21'
_space_group_IT_number 26
_space_group_name_Hall 'P 2c -2'
loop_
_atom_site_label
_atom_site_fract_x
_atom_site_fract_y
_atom_site_fract_z
_atom_site_occupancy
La1 0.0000 0.0583 0.0000 1
La2 0.5000 0.1710 0.3148 1
Nd1 0.5000 0.4429 0.9724 1
Er1 0.0000 0.3258 0.6522 1
Hg1 0.0000 0.3666 0.2345 1
Hg2 0.5000 0.1606 0.7458 1
```